{"formula": "La3AuC", "functional": "PBE", "state": "optimized geometry", "de_polymorph_ev_per_atom": 0.153, "sg": "P6_3/mmc (194)", "crystal_system": "hexagonal", "formation_enthalpy_0k_ev_per_atom": -0.228, "lattice": [[4.573, 0.000, 0.000], [-2.286, 3.960, 0.000], [0.000, 0.000, 16.494]], "species": ["La", "La", "La", "La", "La", "La", "Au", "Au", "C", "C"], "frac_coords": [[0.000, 0.000, 0.250], [0.000, 0.000, 0.750], [0.333, 0.667, 0.097], [0.333, 0.667, 0.403], [0.667, 0.333, 0.597], [0.667, 0.333, 0.903], [0.000, 0.000, 0.000], [0.000, 0.000, 0.500], [0.333, 0.667, 0.250], [0.667, 0.333, 0.750]]}